{"formula": "SrPuCdIn", "functional": "PBE", "state": "relaxed", "lattice_angstrom": [[0.0000, 3.9312, 3.9312], [3.9312, 0.0000, 3.9312], [3.9312, 3.9312, 0.0000]], "species": ["Sr", "Pu", "Cd", "In"], "fractional_positions": [[0.0000, 0.0000, 0.0000], [0.5000, 0.5000, 0.5000], [0.2500, 0.2500, 0.2500], [0.7500, 0.7500, 0.7500]], "total_energy_ev_per_atom": -5.05}

***

{"formula": "ZnCr2In", "functional": "PBE", "state": "relaxed", "lattice_angstrom": [[1.5243, 0.8800, 8.6197], [-1.5243, 0.8800, 8.6197], [0.0000, -1.7601, 8.6197]], "species": ["Zn", "Cr", "Cr", "In"], "fractional_positions": [[0.0000, 0.0000, 0.0000], [0.2553, 0.2553, 0.2553], [0.7447, 0.7447, 0.7447], [0.5000, 0.5000, 0.5000]], "total_energy_ev_per_atom": -5.27}

***

{"formula": "KNa2Ge2", "functional": "PBE", "state": "relaxed", "lattice_angstrom": [[-2.5963, 2.5963, 5.6437], [2.5963, -2.5963, 5.6437], [2.5963, 2.5963, -5.6437]], "species": ["K", "Na", "Na", "Ge", "Ge"], "fractional_positions": [[0.0000, 0.0000, 0.0000], [0.2500, 0.7500, 0.5000], [0.7500, 0.2500, 0.5000], [0.3975, 0.3975, 0.0000], [0.6025, 0.6025, 0.0000]], "total_energy_ev_per_atom": -2.66, "polymorph_energy_ev_per_atom": 0.025}

***

The calculation returns the following energy of formation from the pure elements values, one per record and in order: -0.137, 0.541, -0.070 eV per atom.